[1]
Material: SmY2Tm
Method: DFT, GGA-PBE
State: optimized geometry

Properties
Distance to the lowest polymorph of the same formula, meV/atom: 11.0
E_form, eV per atom: 0.02

Cell: 3.5919 3.5919 34.5237 Å, 90.00 90.00 120.00°
Last column: nearest neighbours and their distance in Å.
Space group R3m (No. 160, hexagonal axes)
Symmetry-distinct sites (fractional):
Sm 0.0000 0.0000 0.0000  6 Y 3.56-3.60, 6 Sm 3.59
Y 0.0000 0.0000 0.5816  3 Tm 3.52, 6 Y 3.59, 3 Sm 3.60
Y 0.0000 0.0000 0.7506  3 Tm 3.51, 3 Sm 3.56, 6 Y 3.59
Tm 0.0000 0.0000 0.1659  6 Y 3.51-3.52, 6 Tm 3.59

---

[2]
Material: Ba2NaTl3Cd4
Method: DFT, GGA-PBE
State: optimized geometry

Properties
E_form, eV per atom: -0.23

Cell: 4.9625 4.9625 12.9984 Å, 90.00 90.00 90.00°
Last column: nearest neighbours and their distance in Å.
Space group P-4m2 (No. 115)
Symmetry-distinct sites (fractional):
Ba 0.0000 0.5000 0.2322  4 Tl 3.74, 8 Cd 3.88-3.91
Na 0.0000 0.0000 0.5000  4 Cd 3.08
Tl 0.0000 0.5000 0.8680  5 Cd 2.95-3.02
Tl 0.5000 0.5000 0.5000  4 Cd 3.08
Cd 0.0000 0.0000 0.0000  4 Tl 3.02
Cd 0.0000 0.5000 0.6408  3 Tl 2.95-3.08, 2 Na 3.08
Cd 0.5000 0.5000 0.0000  4 Tl 3.02

---

[3]
Material: AlFeHg2
Method: DFT, GGA-PBE
State: optimized geometry

Properties
E_form, eV per atom: 0.37

Cell: 9.4161 3.0583 5.2056 Å, 90.00 100.04 90.00°
Last column: nearest neighbours and their distance in Å.
Space group C2/m (No. 12)
Symmetry-distinct sites (fractional):
Al 0.0000 0.0000 0.0000  6 Hg 2.87-2.96, 4 Fe 3.02, 2 Al 3.06
Fe 0.0000 0.5000 0.5000  6 Hg 2.87-2.90, 4 Al 3.02, 2 Fe 3.06
Hg 0.2454 0.0000 0.7416  3 Al 2.87-2.96, 3 Fe 2.87-2.90, 6 Hg 2.96-3.08

---

[4]
Material: LaNb3Cd
Method: DFT, GGA-PBE
State: optimized geometry

Properties
Distance to the lowest polymorph of the same formula, meV/atom: 82.2
E_form, eV per atom: 1.63

Cell: 4.9138 4.9138 4.9138 Å, 90.00 90.00 90.00°
Last column: nearest neighbours and their distance in Å.
Space group Pm-3m (No. 221)
Symmetry-distinct sites (fractional):
La 0.0000 0.0000 0.0000  6 Nb 2.46
Nb 0.0000 0.0000 0.5000  2 La 2.46
Cd 0.5000 0.5000 0.5000  12 Nb 3.47

---

[5]
Material: CeAs2RuO8
Method: DFT, GGA-PBE
State: optimized geometry

Properties
Formation energy (no corrections), eV/atom: -1.48

Cell: 5.4957 5.4957 6.6921 Å, 90.00 90.00 120.00°
Last column: nearest neighbours and their distance in Å.
Space group P-3m1 (No. 164)
Symmetry-distinct sites (fractional):
Ce 0.0000 0.0000 0.0000  6 O 2.45
As 0.3333 0.6667 0.2245  4 O 1.69-1.73
Ru 0.0000 0.0000 0.5000  6 O 2.05
O 0.1575 0.3149 0.2905  1 As 1.73
O 0.3333 0.6667 0.9721  1 As 1.69

---

[6]
Material: Pm3Ho12Te5
Method: DFT, GGA-PBE
State: optimized geometry

Properties
Formation energy (no corrections), eV/atom: -0.06

Cell: 18.3143 18.3143 18.3143 Å, 90.00 90.00 90.00°
Last column: nearest neighbours and their distance in Å.
Space group Ia-3d (No. 230)
Symmetry-distinct sites (fractional):
Pm 0.0000 0.2500 0.1250  8 Ho 3.26-3.52
Ho 0.0202 0.0746 0.6484  2 Te 3.00-3.06, 1 Pm 3.26
Te 0.0000 0.0000 0.0000  6 Ho 3.06
Te 0.0000 0.2500 0.3750  4 Ho 3.00

---

[7]
Material: Zr2AlP
Method: DFT, GGA-PBE
State: optimized geometry

Properties
Distance to the lowest polymorph of the same formula, meV/atom: 42.0
E_form, eV per atom: -0.80

Cell: 3.5581 3.5581 22.2984 Å, 90.00 90.00 120.00°
Last column: nearest neighbours and their distance in Å.
Space group R3m (No. 160, hexagonal axes)
Symmetry-distinct sites (fractional):
Zr 0.0000 0.0000 0.0000  3 P 2.56
Zr 0.0000 0.0000 0.1975  3 P 2.55
Al 0.0000 0.0000 0.7662  6 Zr 3.00-3.02
P 0.0000 0.0000 0.5984  6 Zr 2.55-2.56

---

[8]
Material: Cr2CuOs
Method: DFT, GGA-PBE
State: optimized geometry

Properties
E_form, eV per atom: 0.27

Cell: 2.5810 4.0022 4.9980 Å, 90.00 103.11 90.00°
Last column: nearest neighbours and their distance in Å.
Space group Pm (No. 6)
Symmetry-distinct sites (fractional):
Cr 0.0000 0.0000 0.0000  4 Cr 2.42-2.58, 2 Cu 2.50, 2 Os 2.53-2.56
Cr 0.1151 0.5000 0.7469  4 Cr 2.42-2.58, 2 Cu 2.54-2.57, 2 Os 2.55
Cu 0.7074 0.5000 0.2283  6 Cr 2.50-2.77, 2 Cu 2.58, 2 Os 2.64
Os 0.4241 0.0000 0.5090  6 Cr 2.53-2.76, 2 Os 2.58, 2 Cu 2.64

---

[9]
Material: CdH3Pd
Method: DFT, GGA-PBE
State: optimized geometry

Properties
Distance to the lowest polymorph of the same formula, meV/atom: 0.0

Cell: 4.7958 5.1225 5.1415 Å, 85.15 67.98 79.29°
Last column: nearest neighbours and their distance in Å.
Space group P-1 (No. 2)
Symmetry-distinct sites (fractional):
Cd 0.0593 0.2598 0.2109  2 H 1.95-2.01
H 0.0510 0.1844 0.8493  1 Pd 1.70
H 0.3594 0.0263 0.3538  2 Pd 1.78-1.96
H 0.4391 0.5411 0.7168  2 Pd 1.76-1.78
Pd 0.3556 0.2734 0.5799  4 H 1.70-1.78

---

[10]
Material: AcBe2Pt2
Method: DFT, GGA-PBE
State: optimized geometry

Properties
E_form, eV per atom: -0.82

Cell: 5.7474 5.7586 6.8732 Å, 103.00 102.29 118.39°
Last column: nearest neighbours and their distance in Å.
Space group P-1 (No. 2)
Symmetry-distinct sites (fractional):
Ac 0.1120 0.3620 0.2500  8 Pt 3.18-3.53, 8 Be 3.19-3.51
Be 0.3059 0.0072 0.4884  1 Be 2.25, 4 Pt 2.29-2.33
Be 0.4804 0.6818 0.9869  1 Be 2.25, 4 Pt 2.29-2.33
Pt 0.1753 0.2447 0.7122  4 Be 2.29-2.33
Pt 0.4643 0.0339 0.2110  4 Be 2.29-2.33

---

[11]
Material: LiNdAg2I6
Method: DFT, GGA-PBE
State: optimized geometry

Properties
Formation energy (no corrections), eV/atom: -0.86

Cell: 7.7807 7.7807 21.6605 Å, 90.00 90.00 120.00°
Last column: nearest neighbours and their distance in Å.
Space group R-3 (No. 148, hexagonal axes)
Symmetry-distinct sites (fractional):
Li 0.0000 0.0000 0.0000  6 I 3.03
Nd 0.0000 0.0000 0.5000  6 I 3.14
Ag 0.0000 0.0000 0.2468  3 I 2.78
I 0.0070 0.3610 0.7484  1 Ag 2.78, 1 Li 3.03

---

[12]
Material: Hf2VRh
Method: DFT, GGA-PBE
State: optimized geometry

Properties
Distance to the lowest polymorph of the same formula, meV/atom: 588.3
E_form, eV per atom: 0.15

Cell: 7.2669 7.2669 5.8617 Å, 90.00 90.00 90.00°
Last column: nearest neighbours and their distance in Å.
Space group I-42d (No. 122)
Symmetry-distinct sites (fractional):
Hf 0.2240 0.2500 0.1250  2 Rh 2.55, 2 V 2.80
V 0.0000 0.0000 0.5000  4 Hf 2.80, 2 Rh 2.93
Rh 0.0000 0.0000 0.0000  4 Hf 2.55

---

For reference, magnetization by record: 0.00 0.00 2.64 0.00 0.96 0.00 0.00 0.00 0.00 0.00 0.00 2.08 μB per formula unit.
For reference, ρ by record: 6.42 7.06 10.89 7.42 4.92 6.60 4.90 11.82 6.40 11.66 4.95 10.96 g/cm³.